No. 1
DFT (PBE) results for a relaxed FeMo2Ru2 crystal. Values from VASP.

Geometry as Quantum ESPRESSO input:
```
&SYSTEM
  ibrav = 0, nat = 5, ntyp = 3
/
ATOMIC_SPECIES
Ru 101.07 Ru.upf
Mo 95.94 Mo.upf
Fe 55.84 Fe.upf
CELL_PARAMETERS angstrom
3.972 0.000 0.000
0.000 3.972 0.000
1.986 1.986 5.485
ATOMIC_POSITIONS angstrom
Ru 3.972 3.972 4.306
Mo 1.986 3.972 2.743
Mo 3.972 1.986 2.743
Ru 1.986 1.986 1.179
Fe 0.000 0.000 0.000
```

Computed properties:
space-group type: No. 139
ΔH_f (0 K): 0.6721 eV per atom
uncorrected energy: -45.3 eV per formula unit
E above lowest polymorph: 0.362 eV/atom

---

No. 2
DFT (PBE) results for a relaxed W2BrCl crystal. Values from VASP.

Geometry as Quantum ESPRESSO input:
```
&SYSTEM
  ibrav = 0, nat = 4, ntyp = 3
/
ATOMIC_SPECIES
W 183.84 W.upf
Br 79.90 Br.upf
Cl 35.45 Cl.upf
CELL_PARAMETERS angstrom
3.027 0.000 0.000
0.000 3.410 -0.001
0.000 -0.118 9.039
ATOMIC_POSITIONS angstrom
W 1.513 1.264 1.822
Br 0.000 1.265 3.905
Cl 1.513 2.850 7.473
W 0.000 2.968 0.356
```

Computed properties:
space-group type: No. 6
formation energy without anion corrections: -0.03 eV/atom
uncorrected energy: -29.5 eV per formula unit
E above lowest polymorph: 0.043 eV/atom

---

No. 3
DFT (PBE) results for a relaxed MnInSe crystal. Values from VASP.

Geometry as Quantum ESPRESSO input:
```
&SYSTEM
  ibrav = 0, nat = 3, ntyp = 3
/
ATOMIC_SPECIES
Mn 54.94 Mn.upf
Se 78.96 Se.upf
In 114.82 In.upf
CELL_PARAMETERS angstrom
4.601 0.000 0.000
2.301 3.985 0.000
2.301 1.328 3.757
ATOMIC_POSITIONS angstrom
Mn 6.902 3.985 2.818
Se 0.000 0.000 0.000
In 4.601 2.657 1.879
```

Computed properties:
space-group type: No. 216
formation energy without anion corrections: 0.13 eV/atom
uncorrected energy: -15.0 eV per formula unit
E above lowest polymorph: 0.211 eV/atom

---

No. 4
DFT (PBE) results for a relaxed TcRh2Br crystal. Values from VASP.

Geometry as Quantum ESPRESSO input:
```
&SYSTEM
  ibrav = 0, nat = 4, ntyp = 3
/
ATOMIC_SPECIES
Rh 102.91 Rh.upf
Tc 98.00 Tc.upf
Br 79.90 Br.upf
CELL_PARAMETERS angstrom
3.578 0.000 0.000
0.000 2.845 -0.279
0.000 0.671 6.807
ATOMIC_POSITIONS angstrom
Rh 0.000 2.173 0.183
Rh 1.789 0.889 1.730
Tc 0.000 2.430 2.801
Br 1.789 2.625 4.798
```

Computed properties:
space-group type: No. 25
formation energy without anion corrections: 0.42 eV/atom
uncorrected energy: -25.0 eV per formula unit
E above lowest polymorph: 0.086 eV/atom